This record from the Alexandria database describes an optimized crystal structure of Rb3Y3GeS8. The functional is PBE.

**ΔE_f (raw)**: -1.479 eV per atom
**DFT total energy**: -5.474 eV/atom
**Total moment**: 0.00 μB per formula unit

Cell lengths 7.924, 7.925, 9.097 Å; angles 115.84, 90.00, 120.00 degrees
Fractional coordinates of all 15 atoms:
S: 0.756 0.968 0.679
S: 0.789 0.032 0.321
S: 0.730 0.461 0.691
S: 0.270 0.539 0.309
S: 0.244 0.032 0.321
S: 0.789 0.577 0.321
S: 0.211 0.423 0.679
S: 0.211 0.968 0.679
Rb: 0.000 0.500 0.000
Rb: 0.000 0.000 0.000
Rb: 0.500 0.500 0.000
Y: 0.500 0.000 0.500
Y: 0.000 0.500 0.500
Y: 0.500 0.500 0.500
Ge: 0.000 0.000 0.500

---

This record from the Alexandria database describes an optimized crystal structure of DyThRe. The functional is PBE.

**Distance to the lowest polymorph of the same formula**: 212 meV/atom
**Formation enthalpy at 0 K**: 0.279 eV per atom
**DFT total energy**: -7.878 eV/atom
**Total moment**: 0.00 μB per formula unit

Cell lengths 6.286, 6.286, 13.870 Å; angles 76.90, 76.90, 60.00 degrees
Fractional coordinates of all 18 atoms:
Th: 0.277 0.773 0.673
Th: 0.723 0.227 0.327
Th: 0.227 0.723 0.327
Th: 0.723 0.723 0.327
Th: 0.277 0.277 0.673
Th: 0.773 0.277 0.673
Re: 0.500 0.000 0.000
Re: 0.622 0.622 0.135
Re: 0.500 0.500 0.500
Re: 0.500 0.500 0.000
Re: 0.000 0.500 0.000
Re: 0.378 0.378 0.865
Dy: 0.277 0.277 0.170
Dy: 0.036 0.036 0.893
Dy: 0.723 0.723 0.830
Dy: 0.817 0.817 0.549
Dy: 0.964 0.964 0.107
Dy: 0.183 0.183 0.451

---

This record from the Alexandria database describes an optimized crystal structure of Pm3Pb2. The functional is PBE.

**Distance to the lowest polymorph of the same formula**: 15 meV/atom
**Formation enthalpy at 0 K**: -0.419 eV per atom
**DFT total energy**: -4.752 eV/atom
**Total moment**: 0.02 μB per formula unit

Cell lengths 8.492, 8.280, 9.144 Å; angles 90.00, 90.00, 90.00 degrees
Fractional coordinates of all 20 atoms:
Pm: 0.992 0.883 0.663
Pm: 0.492 0.617 0.163
Pm: 0.508 0.117 0.163
Pm: 0.143 0.250 0.000
Pm: 0.992 0.617 0.337
Pm: 0.857 0.750 0.000
Pm: 0.357 0.750 0.500
Pm: 0.492 0.883 0.837
Pm: 0.008 0.383 0.663
Pm: 0.508 0.383 0.837
Pm: 0.008 0.117 0.337
Pm: 0.643 0.250 0.500
Pb: 0.790 0.122 0.864
Pb: 0.790 0.378 0.136
Pb: 0.290 0.122 0.636
Pb: 0.210 0.878 0.136
Pb: 0.710 0.622 0.636
Pb: 0.290 0.378 0.364
Pb: 0.210 0.622 0.864
Pb: 0.710 0.878 0.364

---

This record from the Alexandria database describes an optimized crystal structure of NbGaN. The functional is PBE.

**ΔE_f (raw)**: -0.369 eV per atom
**DFT total energy**: -7.510 eV/atom
**Total moment**: 0.00 μB per formula unit

Cell lengths 3.202, 3.202, 11.956 Å; angles 82.30, 82.30, 60.00 degrees
Fractional coordinates of all 6 atoms:
N: 0.283 0.283 0.152
N: 0.717 0.717 0.848
Nb: 0.406 0.406 0.781
Nb: 0.594 0.594 0.219
Ga: 0.863 0.863 0.411
Ga: 0.137 0.137 0.589

---

This record from the Alexandria database describes an optimized crystal structure of Rb2MgSiMo. The functional is PBE.

**ΔE_f (raw)**: 1.329 eV per atom
**DFT total energy**: -2.627 eV/atom
**Total moment**: 5.31 μB per formula unit

Cell lengths 6.922, 4.815, 6.922 Å; angles 90.00, 90.00, 90.00 degrees
Fractional coordinates of all 5 atoms:
Rb: 0.000 0.000 0.500
Rb: 0.500 0.000 0.000
Si: 0.000 0.500 0.000
Mg: 0.000 0.000 0.000
Mo: 0.500 0.500 0.500

---

This record from the Alexandria database describes an optimized crystal structure of LaTm3Zn2. The functional is PBE.

**Formation enthalpy at 0 K**: -0.227 eV per atom
**DFT total energy**: -3.709 eV/atom
**Total moment**: 0.00 μB per formula unit

Cell lengths 3.542, 3.542, 12.339 Å; angles 90.00, 90.00, 90.00 degrees
Fractional coordinates of all 6 atoms:
Tm: 0.000 0.000 0.718
Tm: 0.000 0.000 0.282
Tm: 0.000 0.000 0.000
Zn: 0.500 0.500 0.859
Zn: 0.500 0.500 0.141
La: 0.500 0.500 0.500